Here is a geometry-optimized YMnCo2 structure from Alexandria via LeMat-Bulk. Energies are from PBE.

Values from the calculation:
SG: Fm-3m (225)
DFT formation energy in eV/atom: 0.07
E above lowest polymorph in eV per atom: 0.104

Lattice parameters (Å, degrees): 4.408 4.408 4.408 60.00 60.00 60.00
Last column: magnetic moment on the atom in μB.
Fractional positions:
Co 0.250 0.250 0.250  0.96
Mn 0.000 0.000 0.000  3.29
Y 0.500 0.500 0.500  -0.25
Co 0.750 0.750 0.750  0.96

---

Here is a geometry-optimized Mn4Zn10Co structure from Alexandria via LeMat-Bulk. Energies are from PBE.

Values from the calculation:
SG: I4/m (87)
DFT formation energy in eV/atom: 0.30

Lattice parameters (Å, degrees): 6.856 6.911 6.911 75.76 60.26 60.26
Last column: magnetic moment on the atom in μB.
Fractional positions:
Mn 0.735 0.707 0.823  3.56
Zn 0.926 0.677 0.095  -0.03
Zn 0.397 0.905 0.677  -0.03
Zn 0.750 0.500 0.500  -0.03
Zn 0.302 0.677 0.095  -0.03
Zn 0.603 0.095 0.323  -0.03
Zn 0.698 0.323 0.905  -0.03
Zn 0.250 0.500 0.500  -0.03
Mn 0.265 0.293 0.177  3.56
Mn 0.558 0.177 0.707  3.56
Zn 0.074 0.323 0.905  -0.03
Zn 0.979 0.095 0.323  -0.03
Zn 0.021 0.905 0.677  -0.03
Co 0.000 0.000 0.000  0.61
Mn 0.442 0.823 0.293  3.56

---

- What is the DFT formation energy in the first record?
  0.07 eV/atom

---

- The highest DFT formation energy belongs to which entry?
  Mn4Zn10Co

---

Copy entry 1 word for word.
Here is a geometry-optimized YMnCo2 structure from Alexandria via LeMat-Bulk. Energies are from PBE.

Values from the calculation:
SG: Fm-3m (225)
DFT formation energy in eV/atom: 0.07
E above lowest polymorph in eV per atom: 0.104

Lattice parameters (Å, degrees): 4.408 4.408 4.408 60.00 60.00 60.00
Last column: magnetic moment on the atom in μB.
Fractional positions:
Co 0.250 0.250 0.250  0.96
Mn 0.000 0.000 0.000  3.29
Y 0.500 0.500 0.500  -0.25
Co 0.750 0.750 0.750  0.96